! ZnFeI3 | the Alexandria database | PBE-GGA | optimized geometry; values from VASP
! energy relative to the elements, uncorrected	210	kJ/mol of formula units
! energy above the lowest structure with this stoichiometry	0.000	eV/atom
&SYSTEM
  ibrav = 0, nat = 5, ntyp = 3
/
ATOMIC_SPECIES
I 126.90 I.upf
Zn 65.41 Zn.upf
Fe 55.84 Fe.upf
ATOMIC_POSITIONS angstrom
I 0.0000 2.6538 0.0000
I 0.0000 0.0000 2.6538
I 2.6538 0.0000 0.0000
Zn 2.6538 2.6538 2.6538
Fe 0.0000 0.0000 0.0000
CELL_PARAMETERS angstrom
5.3076 0.0000 0.0000
0.0000 5.3076 0.0000
0.0000 0.0000 5.3076


! ZrFe3I | the Alexandria database | PBE-GGA | optimized geometry; values from VASP
! energy relative to the elements, uncorrected	616	kJ/mol of formula units
! energy above the lowest structure with this stoichiometry	0.000	eV/atom
&SYSTEM
  ibrav = 0, nat = 5, ntyp = 3
/
ATOMIC_SPECIES
I 126.90 I.upf
Fe 55.84 Fe.upf
Zr 91.22 Zr.upf
ATOMIC_POSITIONS angstrom
I 0.0000 0.0000 0.0000
Fe 1.5980 0.3746 1.5924
Fe -1.6338 0.4764 1.5276
Fe -0.0815 -2.2051 0.6006
Zr -0.1173 -1.3540 3.7205
CELL_PARAMETERS angstrom
-0.1630 -4.4102 1.2011
3.1961 0.7493 3.1848
-3.2677 0.9529 3.0551


! ZrFe3I12 | the Alexandria database | PBE-GGA | optimized geometry; values from VASP
! energy relative to the elements, uncorrected	-427	kJ/mol of formula units
&SYSTEM
  ibrav = 0, nat = 32, ntyp = 3
/
ATOMIC_SPECIES
Zr 91.22 Zr.upf
Fe 55.84 Fe.upf
I 126.90 I.upf
ATOMIC_POSITIONS angstrom
Zr 5.9838 9.0868 0.0000
Zr 1.9946 4.5434 7.8694
Fe 1.9946 11.7590 1.8731
Fe 1.9946 9.3729 -3.2507
Fe 1.9946 6.1286 1.3776
Fe 5.9838 7.5017 6.4918
Fe 5.9838 4.2573 11.1202
Fe 5.9838 1.8712 5.9963
I 1.9946 12.8906 4.0894
I 5.9838 0.3985 7.9956
I 4.1659 10.1832 2.0100
I 7.8017 10.1832 2.0100
I 5.9838 6.5066 4.2167
I 7.8017 10.2794 -1.9545
I 4.1659 10.2794 -1.9545
I 1.9946 10.7265 -5.3389
I 4.1659 6.7979 -0.0555
I 7.8017 6.7979 -0.0555
I 5.9838 9.9868 6.6200
I 1.9946 6.9051 -3.5265
I 5.9838 6.7252 11.3959
I 1.9946 3.6434 1.2494
I 0.1767 6.8323 7.9249
I 3.8125 6.8323 7.9249
I 5.9838 2.9037 13.2083
I 3.8125 3.3509 9.8239
I 0.1767 3.3509 9.8239
I 1.9946 7.1236 3.6527
I 3.8125 3.4471 5.8594
I 0.1767 3.4471 5.8594
I 1.9946 13.2318 -0.1262
I 5.9838 0.7397 3.7800
CELL_PARAMETERS angstrom
7.9784 0.0000 0.0000
0.0000 13.6302 -7.8694
0.0000 0.0000 15.7389


! ZrFeI3 | the Alexandria database | PBE-GGA | optimized geometry; values from VASP
! energy relative to the elements, uncorrected	189	kJ/mol of formula units
! energy above the lowest structure with this stoichiometry	0.000	eV/atom
&SYSTEM
  ibrav = 0, nat = 5, ntyp = 3
/
ATOMIC_SPECIES
I 126.90 I.upf
Fe 55.84 Fe.upf
Zr 91.22 Zr.upf
ATOMIC_POSITIONS angstrom
I 0.0000 2.8763 0.0000
I 0.0000 0.0000 2.8763
I 2.8763 0.0000 0.0000
Fe 2.8763 2.8763 2.8763
Zr 0.0000 0.0000 0.0000
CELL_PARAMETERS angstrom
5.7527 0.0000 0.0000
0.0000 5.7527 0.0000
0.0000 0.0000 5.7527


! ZrFe2I | the Alexandria database | PBE-GGA | optimized geometry; values from VASP
! energy relative to the elements, uncorrected	279	kJ/mol of formula units
! energy above the lowest structure with this stoichiometry	0.142	eV/atom
&SYSTEM
  ibrav = 0, nat = 8, ntyp = 3
/
ATOMIC_SPECIES
I 126.90 I.upf
Fe 55.84 Fe.upf
Zr 91.22 Zr.upf
ATOMIC_POSITIONS angstrom
I 0.0000 0.0000 0.0000
I 4.0579 2.0289 4.7913
Fe 2.8438 1.0145 2.3957
Fe 1.2141 3.0434 2.3957
Fe 3.0434 3.2431 7.1870
Fe 5.0724 4.8727 7.1870
Zr 2.0289 2.0289 0.0000
Zr 2.0289 4.0579 4.7913
CELL_PARAMETERS angstrom
4.0579 0.0000 0.0000
0.0000 4.0579 0.0000
2.0289 2.0289 9.5826


! Zr6FeI14 | the Alexandria database | PBE-GGA | optimized geometry; values from VASP
! energy relative to the elements, uncorrected	-1848	kJ/mol of formula units
&SYSTEM
  ibrav = 0, nat = 42, ntyp = 3
/
ATOMIC_SPECIES
Zr 91.22 Zr.upf
Fe 55.84 Fe.upf
I 126.90 I.upf
ATOMIC_POSITIONS angstrom
Zr -6.3231 8.6990 0.0638
Zr -1.0657 3.0753 14.5835
Zr -2.0013 7.7584 7.0570
Zr -5.0699 6.8889 5.4411
Zr -5.3876 4.0159 7.5904
Zr -2.3190 4.8854 9.2062
Zr 0.0530 13.1935 7.0143
Zr -7.4419 -1.4192 7.6330
Zr -2.4679 4.5379 5.7013
Zr -4.9210 7.2364 8.9460
Zr 3.6463 6.6899 9.4817
Zr -11.0352 5.0845 5.1656
Fe 0.0000 0.0000 0.0000
Fe -3.6944 5.8872 7.3237
I -4.1555 2.1820 5.6629
I -3.2334 9.5924 8.9844
I -3.9164 3.1353 13.9004
I -4.5552 -1.1536 8.0726
I -3.4725 8.6390 0.7470
I -2.8336 12.9280 6.5747
I -3.5870 6.3938 11.3772
I -3.8018 5.3805 3.2701
I -3.2533 -0.3370 2.4531
I -4.1356 12.1113 12.1942
I -0.3021 6.3765 5.0949
I -6.7306 8.6192 7.1426
I -7.0868 5.3978 9.5525
I -0.6583 3.1551 7.5047
I -4.4918 8.8899 14.6041
I -2.8971 2.8845 0.0432
I -6.7629 8.2000 3.1377
I -0.6260 3.5743 11.5096
I 0.0922 10.0699 6.6504
I -7.4811 1.7045 7.9969
I -6.3706 5.7963 0.0112
I -7.0858 -0.6719 4.8499
I -3.3338 9.1487 4.8838
I -4.0551 2.6257 9.7635
I -0.3827 2.5018 3.2878
I -7.0061 9.2725 11.3596
I -0.1209 6.8824 9.1822
I -7.2680 4.8919 5.4651
CELL_PARAMETERS angstrom
-6.0100 9.0578 -2.4287
-7.4464 -3.9334 7.2897
6.0676 6.6500 9.7863


! ZrFe2I | the Alexandria database | PBE-GGA | optimized geometry; values from VASP
! energy relative to the elements, uncorrected	224	kJ/mol of formula units
! energy above the lowest structure with this stoichiometry	0.000	eV/atom
&SYSTEM
  ibrav = 0, nat = 4, ntyp = 3
/
ATOMIC_SPECIES
I 126.90 I.upf
Fe 55.84 Fe.upf
Zr 91.22 Zr.upf
ATOMIC_POSITIONS angstrom
I -3.5114 -4.0317 1.5501
Fe -1.7557 -2.0158 0.7751
Fe -5.2672 -6.0475 2.3252
Zr 0.0000 0.0000 0.0000
CELL_PARAMETERS angstrom
-0.4107 -4.4523 0.8167
-2.7446 -1.4584 3.3164
-3.8675 -2.1526 -1.0328


! ZrFe2I8 | the Alexandria database | PBE-GGA | optimized geometry; values from VASP
! energy relative to the elements, uncorrected	-529	kJ/mol of formula units
&SYSTEM
  ibrav = 0, nat = 11, ntyp = 3
/
ATOMIC_SPECIES
I 126.90 I.upf
Fe 55.84 Fe.upf
Zr 91.22 Zr.upf
ATOMIC_POSITIONS angstrom
I -1.1144 5.2464 6.1313
I -0.5308 6.0303 0.4893
I 0.6483 0.8707 5.1146
I 4.1666 5.5962 1.5060
I 5.3457 0.4366 6.1313
I 5.9293 1.2205 0.4893
I 1.6101 2.1625 0.7921
I 3.2048 4.3044 5.8285
Fe 5.5928 7.5117 0.4608
Fe -0.7779 -1.0448 6.1598
Zr 0.0000 0.0000 0.0000
CELL_PARAMETERS angstrom
8.0027 0.3893 -1.4330
-1.9215 7.7783 -1.4330
-1.2663 -1.7008 9.4865


! ZrFe3I | the Alexandria database | PBE-GGA | optimized geometry; values from VASP
! energy relative to the elements, uncorrected	751	kJ/mol of formula units
! energy above the lowest structure with this stoichiometry	0.280	eV/atom
&SYSTEM
  ibrav = 0, nat = 5, ntyp = 3
/
ATOMIC_SPECIES
I 126.90 I.upf
Fe 55.84 Fe.upf
Zr 91.22 Zr.upf
ATOMIC_POSITIONS angstrom
I -0.1272 2.1169 3.5827
Fe 0.2548 -0.9599 2.1889
Fe 1.4883 1.7862 0.6101
Fe -1.8702 1.2906 0.7837
Zr 0.0000 0.0000 0.0000
CELL_PARAMETERS angstrom
-3.7405 2.5813 1.5674
0.5096 -1.9199 4.3778
2.9766 3.5724 1.2202


! Zr4FeI5 | the Alexandria database | PBE-GGA | optimized geometry; values from VASP
! energy relative to the elements, uncorrected	-643	kJ/mol of formula units
&SYSTEM
  ibrav = 0, nat = 10, ntyp = 3
/
ATOMIC_SPECIES
Zr 91.22 Zr.upf
Fe 55.84 Fe.upf
I 126.90 I.upf
ATOMIC_POSITIONS angstrom
Zr 1.1445 7.5914 5.2335
Zr -0.2797 6.7957 -1.2792
Zr 2.4059 0.4817 1.8846
Zr 3.8301 1.2774 8.3974
Fe 1.9028 0.0000 -0.4161
I 3.0148 5.3512 4.6692
I 3.1643 1.2417 5.3529
I 0.3860 6.8314 1.7652
I 1.7299 4.1768 -1.2067
I 0.5355 2.7219 2.4489
CELL_PARAMETERS angstrom
3.8055 0.0000 -0.8322
-0.3458 8.3537 -1.5812
0.0906 -0.2806 9.5315


! ZrFeI3 | the Alexandria database | PBE-GGA | optimized geometry; values from VASP
! energy relative to the elements, uncorrected	309	kJ/mol of formula units
! energy above the lowest structure with this stoichiometry	0.248	eV/atom
&SYSTEM
  ibrav = 0, nat = 5, ntyp = 3
/
ATOMIC_SPECIES
I 126.90 I.upf
Fe 55.84 Fe.upf
Zr 91.22 Zr.upf
ATOMIC_POSITIONS angstrom
I 2.5406 -0.0862 -0.4631
I 0.1270 -2.3208 1.1290
I -0.4535 -1.1329 -2.2776
Fe 0.0000 0.0000 0.0000
Zr 2.2141 -3.5398 -1.6117
CELL_PARAMETERS angstrom
-0.9071 -2.2657 -4.5553
5.0813 -0.1724 -0.9261
0.2541 -4.6415 2.2580


! InFe | the Alexandria database | PBE-GGA | optimized geometry; values from VASP
! DFT formation energy	1.2881	eV per atom
&SYSTEM
  ibrav = 0, nat = 12, ntyp = 2
/
ATOMIC_SPECIES
In 114.82 In.upf
Fe 55.84 Fe.upf
ATOMIC_POSITIONS angstrom
In 1.8488 3.6977 0.0000
In 5.5465 3.6977 0.0000
In 3.6977 0.0000 1.8488
In 3.6977 0.0000 5.5465
In 0.0000 1.8488 3.6977
In 0.0000 5.5465 3.6977
Fe 1.8488 0.0000 3.6977
Fe 5.5465 0.0000 3.6977
Fe 0.0000 3.6977 1.8488
Fe 0.0000 3.6977 5.5465
Fe 3.6977 1.8488 0.0000
Fe 3.6977 5.5465 0.0000
CELL_PARAMETERS angstrom
7.3954 0.0000 0.0000
0.0000 7.3954 0.0000
0.0000 0.0000 7.3954


! In3Fe4 | the Alexandria database | PBE-GGA | optimized geometry; values from VASP
! DFT formation energy	0.7116	eV per atom
&SYSTEM
  ibrav = 0, nat = 7, ntyp = 2
/
ATOMIC_SPECIES
In 114.82 In.upf
Fe 55.84 Fe.upf
ATOMIC_POSITIONS angstrom
In -0.1001 -1.0399 -2.5450
In -0.7212 1.6053 -2.1145
In 0.6212 -2.6452 -0.4305
Fe -1.1467 -0.2963 0.1662
Fe -3.3076 -0.8547 0.4793
Fe -1.8797 -3.0322 -1.6609
Fe -2.7747 -0.1986 -2.7836
CELL_PARAMETERS angstrom
-1.4425 3.2106 -4.2290
1.2423 -5.2904 -0.8610
-4.4543 -1.1510 0.6455


! InFe | the Alexandria database | PBE-GGA | optimized geometry; values from VASP
! DFT formation energy	0.3965	eV per atom
&SYSTEM
  ibrav = 0, nat = 16, ntyp = 2
/
ATOMIC_SPECIES
In 114.82 In.upf
Fe 55.84 Fe.upf
ATOMIC_POSITIONS angstrom
In -0.3586 -4.0546 1.8527
In 3.4898 -1.2516 5.2016
In 3.5925 -2.4978 1.8277
In 5.4475 -5.7140 4.3099
In 4.9469 -2.0619 -0.7867
In 4.7302 -3.7940 6.4682
In 1.2938 -5.4083 3.9256
In 1.2005 -2.2538 3.5848
Fe 1.0777 -1.2167 1.0892
Fe 2.1407 -3.7675 5.9028
Fe 3.4134 -5.7193 2.3648
Fe 5.5396 -2.8144 3.8351
Fe 3.5456 -3.9020 3.9940
Fe 6.1561 -1.8625 1.6699
Fe 1.1308 -1.7629 6.2850
Fe 1.3388 -5.9904 1.2431
CELL_PARAMETERS angstrom
-1.5558 -5.7541 1.1139
6.1840 -1.8877 -1.1138
1.4575 0.8828 6.5958


! InFe7 | the Alexandria database | PBE-GGA | optimized geometry; values from VASP
! DFT formation energy	0.1971	eV per atom
&SYSTEM
  ibrav = 0, nat = 8, ntyp = 2
/
ATOMIC_SPECIES
In 114.82 In.upf
Fe 55.84 Fe.upf
ATOMIC_POSITIONS angstrom
In 0.0000 0.0000 0.0000
Fe -2.6051 -3.3143 1.7289
Fe -4.1927 -1.7534 0.3277
Fe -1.6638 -2.0072 -0.3509
Fe -2.5289 0.2538 0.6786
Fe -0.9413 -1.3071 2.0798
Fe -3.4702 -1.0534 2.7583
Fe -5.1340 -3.0606 2.4075
CELL_PARAMETERS angstrom
-3.3276 -4.0144 -0.7018
-1.8826 -2.6143 4.1595
-5.0578 0.5075 1.3571


! InFe | the Alexandria database | PBE-GGA | optimized geometry; values from VASP
! DFT formation energy	0.2118	eV per atom
&SYSTEM
  ibrav = 0, nat = 12, ntyp = 2
/
ATOMIC_SPECIES
In 114.82 In.upf
Fe 55.84 Fe.upf
ATOMIC_POSITIONS angstrom
In 0.0000 2.6892 4.5499
In 0.0000 9.1611 4.5499
In 0.0000 8.6143 1.3911
In 0.0000 3.2360 1.3911
In 0.0000 0.0000 0.4930
In 0.0000 5.9252 3.6518
Fe 1.4813 4.6971 5.8122
Fe 1.4813 7.1532 5.8122
Fe 1.4813 10.6223 2.6534
Fe 1.4813 1.2280 2.6534
Fe 0.0000 0.0000 4.0657
Fe 0.0000 5.9252 0.9070
CELL_PARAMETERS angstrom
2.9626 0.0000 0.0000
0.0000 11.8503 0.0000
0.0000 0.0000 6.3176


! InFe | the Alexandria database | PBE-GGA | optimized geometry; values from VASP
! DFT formation energy	0.5822	eV per atom
&SYSTEM
  ibrav = 0, nat = 8, ntyp = 2
/
ATOMIC_SPECIES
In 114.82 In.upf
Fe 55.84 Fe.upf
ATOMIC_POSITIONS angstrom
In 1.0055 1.0055 0.0000
In 3.6655 1.6545 2.6980
In 1.6545 3.6655 2.6980
In 4.3145 4.3145 0.0000
Fe 1.7816 3.5384 0.0000
Fe 4.4415 4.4415 2.6980
Fe 0.8784 0.8784 2.6980
Fe 3.5384 1.7816 0.0000
CELL_PARAMETERS angstrom
5.3200 0.0000 0.0000
0.0000 5.3200 0.0000
0.0000 0.0000 5.3959


! In4Fe3 | the Alexandria database | PBE-GGA | optimized geometry; values from VASP
! DFT formation energy	0.2727	eV per atom
&SYSTEM
  ibrav = 0, nat = 7, ntyp = 2
/
ATOMIC_SPECIES
In 114.82 In.upf
Fe 55.84 Fe.upf
ATOMIC_POSITIONS angstrom
In 0.0000 0.0000 1.2903
In 0.0000 0.0000 3.9355
In 2.6312 -1.5191 2.6129
In 2.6312 1.5191 2.6129
Fe 1.3156 2.2787 0.0000
Fe 2.6312 0.0000 0.0000
Fe 1.3156 -2.2787 0.0000
CELL_PARAMETERS angstrom
2.6312 -4.5574 0.0000
2.6312 4.5574 0.0000
0.0000 0.0000 5.2258


! InFe3 | the Alexandria database | PBE-GGA | optimized geometry; values from VASP
! DFT formation energy	0.1569	eV per atom
&SYSTEM
  ibrav = 0, nat = 8, ntyp = 2
/
ATOMIC_SPECIES
In 114.82 In.upf
Fe 55.84 Fe.upf
ATOMIC_POSITIONS angstrom
In 0.0000 3.1120 0.0000
In 2.1496 1.7452 2.6832
Fe 2.1496 1.3289 0.0000
Fe 0.0000 3.5283 2.6832
Fe 0.0000 0.7034 1.2757
Fe 0.0000 0.7034 4.0906
Fe 2.1496 4.1539 3.9589
Fe 2.1496 4.1539 1.4074
CELL_PARAMETERS angstrom
4.2992 0.0000 0.0000
0.0000 4.8572 0.0000
0.0000 0.0000 5.3663


! InFe3 | the Alexandria database | PBE-GGA | optimized geometry; values from VASP
! DFT formation energy	0.2204	eV per atom
&SYSTEM
  ibrav = 0, nat = 8, ntyp = 2
/
ATOMIC_SPECIES
In 114.82 In.upf
Fe 55.84 Fe.upf
ATOMIC_POSITIONS angstrom
In 0.0000 0.0000 0.0000
In 2.4097 2.4097 2.4097
Fe 3.6146 2.4097 0.0000
Fe 1.2049 2.4097 0.0000
Fe 0.0000 3.6146 2.4097
Fe 0.0000 1.2049 2.4097
Fe 2.4097 0.0000 1.2049
Fe 2.4097 0.0000 3.6146
CELL_PARAMETERS angstrom
4.8194 0.0000 0.0000
0.0000 4.8194 0.0000
0.0000 0.0000 4.8194


Ρ in g cm⁻³, matching the order above: 5.57; 6.69; 3.46; 4.60; 6.94; 4.80; 8.25; 3.61; 5.76; 5.80; 6.35; 4.20; 7.74; 8.36; 8.16; 7.67; 7.42; 8.30; 8.37; 8.38